## BaCoAu2 (PBE-GGA)

Data for a relaxed BaCoAu2 crystal.

**Uncorrected energy**: -16.36 eV/f.u.
**Formation energy from the elements**: -0.78 eV per formula unit
**M_tot**: 1.90 μB/cell
**Energy above the most stable polymorph in this dataset**: 0 meV/atom
**D(E_F)**: 5.7 states/eV/cell
**Symmetry**: R-3m, No. 166

a = 6.225 Å, b = 6.225 Å, c = 6.225 Å
α = 42.73°, β = 42.73°, γ = 42.73°
Each line ends with the local moment (μB).
Positions (direct):
Au 0.449 0.449 0.449  0.07
Co 0.750 0.750 0.750  1.83
Au 0.051 0.051 0.051  0.07
Ba 0.250 0.250 0.250  -0.01

## LiEr2TmHg4 (PBE-GGA)

Data for a relaxed LiEr2TmHg4 crystal.

**Uncorrected energy**: -20.37 eV/f.u.
**Formation energy from the elements**: -3.65 eV per formula unit
**M_tot**: 0.00 μB/cell
**D(E_F)**: 5.8 states/eV/cell
**Symmetry**: R-3m, No. 166

a = 5.106 Å, b = 5.106 Å, c = 8.921 Å
α = 73.37°, β = 73.37°, γ = 60.00°
Positions (direct):
Hg 0.126 0.126 0.623
Tm 0.000 0.000 0.000
Er 0.246 0.246 0.262
Li 0.500 0.500 0.500
Er 0.754 0.754 0.738
Hg 0.377 0.377 0.870
Hg 0.623 0.623 0.130
Hg 0.874 0.874 0.377

## Y2ClO2 (PBE-GGA)

Data for a relaxed Y2ClO2 crystal.

**Uncorrected energy**: -28.83 eV/f.u.
**M_tot**: 0.00 μB/cell
**Energy above the most stable polymorph in this dataset**: 1990 meV/atom
**D(E_F)**: 2.0 states/eV/cell
**Formation energy (no corrections)**: -0.828 eV per atom
**Symmetry**: P4/mmm, No. 123

a = 5.042 Å, b = 5.042 Å, c = 13.549 Å
α = 90.00°, β = 90.00°, γ = 90.00°
Positions (direct):
Cl 0.500 0.500 0.000
O 0.500 0.500 0.657
Y 0.500 0.500 0.209
Y 0.500 0.500 0.791
O 0.500 0.500 0.343

## Tl3VS (PBE-GGA)

Data for a relaxed Tl3VS crystal.

**Uncorrected energy**: -16.28 eV/f.u.
**M_tot**: 4.38 μB/cell
**Energy above the most stable polymorph in this dataset**: 231 meV/atom
**D(E_F)**: 8.3 states/eV/cell
**Formation energy (no corrections)**: 0.812 eV per atom
**Symmetry**: Pm-3m, No. 221

a = 5.522 Å, b = 5.522 Å, c = 5.522 Å
α = 90.00°, β = 90.00°, γ = 90.00°
Each line ends with the local moment (μB).
Positions (direct):
S 0.000 0.000 0.000  0.09
V 0.500 0.500 0.500  3.15
Tl 0.000 0.000 0.500  0.03
Tl 0.000 0.500 0.000  0.03
Tl 0.500 0.000 0.000  0.03

## NpHgF2 (PBE-GGA)

Data for a relaxed NpHgF2 crystal.

**Uncorrected energy**: -24.69 eV/f.u.
**M_tot**: 5.00 μB/cell
**D(E_F)**: 4.9 states/eV/cell
**Formation energy (no corrections)**: -1.926 eV per atom
**Symmetry**: R-3m, No. 166

a = 3.442 Å, b = 3.442 Å, c = 10.017 Å
α = 80.11°, β = 80.11°, γ = 60.00°
Each line ends with the local moment (μB).
Positions (direct):
F 0.118 0.118 0.646  0.01
F 0.882 0.882 0.354  0.01
Np 0.500 0.500 0.500  4.52
Hg 0.000 0.000 0.000  0.00

## Zr3TiP (PBE-GGA)

Data for a relaxed Zr3TiP crystal.

**Uncorrected energy**: -34.66 eV/f.u.
**Formation energy from the elements**: 4.29 eV per formula unit
**M_tot**: 0.00 μB/cell
**Energy above the most stable polymorph in this dataset**: 1025 meV/atom
**D(E_F)**: 7.7 states/eV/cell
**Symmetry**: Pm-3m, No. 221

a = 4.882 Å, b = 4.882 Å, c = 4.882 Å
α = 90.00°, β = 90.00°, γ = 90.00°
Positions (direct):
Zr 0.000 0.000 0.500
P 0.500 0.500 0.500
Zr 0.000 0.500 0.000
Zr 0.500 0.000 0.000
Ti 0.000 0.000 0.000

## Mg12InPb3 (PBE-GGA)

Data for a relaxed Mg12InPb3 crystal.

**Uncorrected energy**: -34.01 eV/f.u.
**Formation energy from the elements**: -1.01 eV per formula unit
**M_tot**: 0.00 μB/cell
**D(E_F)**: 6.0 states/eV/cell
**Symmetry**: P4/mmm, No. 123

a = 4.525 Å, b = 4.525 Å, c = 18.398 Å
α = 90.00°, β = 90.00°, γ = 90.00°
Positions (direct):
Mg 0.000 0.500 0.627
Mg 0.000 0.500 0.121
Mg 0.000 0.500 0.879
Mg 0.500 0.500 0.248
Mg 0.000 0.500 0.373
Pb 0.000 0.000 0.248
Mg 0.500 0.500 0.752
Mg 0.500 0.000 0.627
Mg 0.500 0.000 0.121
Mg 0.500 0.000 0.879
Pb 0.000 0.000 0.752
Pb 0.000 0.000 0.500
Mg 0.500 0.500 0.500
Mg 0.500 0.500 0.000
Mg 0.500 0.000 0.373
In 0.000 0.000 0.000

## Er2PN4 (PBE-GGA)

Data for a relaxed Er2PN4 crystal.

**Uncorrected energy**: -55.59 eV/f.u.
**M_tot**: 0.00 μB/cell
**D(E_F)**: 9.5 states/eV/cell
**Formation energy (no corrections)**: -1.107 eV per atom
**Symmetry**: Fddd, No. 70

a = 5.810 Å, b = 5.810 Å, c = 6.808 Å
α = 104.00°, β = 104.00°, γ = 115.66°
Positions (direct):
P 0.570 0.570 0.000
P 0.820 0.320 0.500
N 0.020 0.308 0.367
N 0.558 0.770 0.867
N 0.941 0.654 0.633
Er 0.133 0.008 0.500
Er 0.258 0.883 0.000
Er 0.883 0.258 0.000
N 0.833 0.121 0.633
Er 0.508 0.633 0.500
N 0.904 0.691 0.133
N 0.371 0.583 0.133
N 0.487 0.200 0.367
N 0.450 0.237 0.867

## Pu4OsRh (PBE-GGA)

Data for a relaxed Pu4OsRh crystal.

**Uncorrected energy**: -76.18 eV/f.u.
**Formation energy from the elements**: -0.27 eV per formula unit
**M_tot**: 21.04 μB/cell
**Energy above the most stable polymorph in this dataset**: 0 meV/atom
**D(E_F)**: 22.4 states/eV/cell
**Symmetry**: R-3m, No. 166

a = 5.156 Å, b = 5.156 Å, c = 6.735 Å
α = 67.50°, β = 67.50°, γ = 60.00°
Each line ends with the local moment (μB).
Positions (direct):
Pu 0.147 0.147 0.558  5.24
Pu 0.853 0.853 0.442  5.24
Pu 0.349 0.349 0.952  5.23
Os 0.000 0.000 0.000  -0.59
Rh 0.500 0.500 0.500  -0.24
Pu 0.651 0.651 0.048  5.23

## TcAsCl2 (PBE-GGA)

Data for a relaxed TcAsCl2 crystal.

**Uncorrected energy**: -17.73 eV/f.u.
**M_tot**: 0.00 μB/cell
**Energy above the most stable polymorph in this dataset**: 460 meV/atom
**D(E_F)**: 4.8 states/eV/cell
**Formation energy (no corrections)**: 0.246 eV per atom
**Symmetry**: Cmmm, No. 65

a = 3.122 Å, b = 3.122 Å, c = 11.802 Å
α = 90.00°, β = 90.00°, γ = 125.21°
Positions (direct):
As 0.500 0.500 0.750
Cl 0.000 0.000 0.089
Tc 0.500 0.500 0.250
Cl 0.000 0.000 0.411

## KLa2Fe (PBE-GGA)

Data for a relaxed KLa2Fe crystal.

**Uncorrected energy**: -15.99 eV/f.u.
**Formation energy from the elements**: 3.42 eV per formula unit
**M_tot**: 2.00 μB/cell
**Energy above the most stable polymorph in this dataset**: 696 meV/atom
**D(E_F)**: 8.6 states/eV/cell
**Symmetry**: F-43m, No. 216

a = 5.573 Å, b = 5.573 Å, c = 5.573 Å
α = 60.00°, β = 60.00°, γ = 60.00°
Each line ends with the local moment (μB).
Positions (direct):
K 0.750 0.750 0.750  0.01
La 0.250 0.250 0.250  0.30
La 0.000 0.000 0.000  0.24
Fe 0.500 0.500 0.500  -2.94

## HfAg2Pt (PBE-GGA)

Data for a relaxed HfAg2Pt crystal.

**Uncorrected energy**: -22.26 eV/f.u.
**Formation energy from the elements**: -0.56 eV per formula unit
**M_tot**: 0.00 μB/cell
**Energy above the most stable polymorph in this dataset**: 0 meV/atom
**D(E_F)**: 4.8 states/eV/cell
**Symmetry**: Fm-3m, No. 225

a = 4.643 Å, b = 4.643 Å, c = 4.643 Å
α = 60.00°, β = 60.00°, γ = 60.00°
Positions (direct):
Ag 0.750 0.750 0.750
Ag 0.250 0.250 0.250
Pt 0.500 0.500 0.500
Hf 0.000 0.000 0.000